No. 1
Compound: ZnCu4
Source: Alexandria via LeMat-Bulk
Functional: GGA-PBE
Structure: relaxed

a b c (Å): 2.561 2.561 11.300
angles (deg): 90.00 90.00 120.00
Sites, in units of the cell vectors:
Zn 0.000 0.000 0.000
Cu 0.667 0.333 0.194
Cu 0.333 0.667 0.806
Cu 0.667 0.333 0.407
Cu 0.333 0.667 0.593

Computed properties:
Final energy   -3.42 eV/atom
Energy of formation   0.1132 eV per atom
ΔE to the lowest computed polymorph   166 meV/atom

No. 2
Compound: AcPaBiO6
Source: Alexandria via LeMat-Bulk
Functional: GGA-PBE
Structure: relaxed

a b c (Å): 5.894 5.894 10.636
angles (deg): 90.00 90.00 120.00
Sites, in units of the cell vectors:
Ac 0.000 0.000 0.000
Ac 0.000 0.000 0.500
Pa 0.333 0.667 0.250
Pa 0.667 0.333 0.750
Bi 0.667 0.333 0.250
Bi 0.333 0.667 0.750
O 0.641 0.650 0.139
O 0.010 0.359 0.139
O 0.359 0.010 0.639
O 0.990 0.641 0.861
O 0.350 0.359 0.361
O 0.010 0.650 0.361
O 0.650 0.010 0.861
O 0.641 0.990 0.361
O 0.990 0.350 0.639
O 0.350 0.990 0.139
O 0.650 0.641 0.639
O 0.359 0.350 0.861

Computed properties:
Final energy   -7.88 eV/atom

| no. | magnetization (μB per formula unit) |
| --- | --- |
| 1 | 0.00 |
| 2 | 0.65 |